# 1
The following is a DFT calculation (PBE) of a relaxed structure of BeCoAu2.

## Properties
Uncorrected energy, eV for the cell shown: -16.2
Calculated density, kg/m3: 13420

Geometry as POSCAR:
```
BeCoAu2
1.0
-2.563 -3.019 1.736
-4.283 0.226 -0.545
-2.009 -2.857 -2.549
Au Co Be
2 1 1
direct
0.000 0.000 0.000
0.750 0.750 0.750
0.250 0.250 0.250
0.500 0.500 0.500
```

=====

# 2
The following is a DFT calculation (PBE) of a relaxed structure of KHoCoTe3.

## Properties
Uncorrected energy, eV for the cell shown: -107.1
Offset from the most stable computed form, meV/atom: 87
Calculated density, kg/m3: 5950

Geometry as POSCAR:
```
KHoCoTe3
1.0
4.450 0.000 0.000
0.000 12.232 0.000
0.000 0.000 13.244
Ho Te K Co
4 12 4 4
direct
0.750 0.021 0.684
0.750 0.521 0.816
0.250 0.479 0.184
0.250 0.979 0.316
0.250 0.397 0.935
0.250 0.720 0.293
0.750 0.103 0.435
0.250 0.220 0.207
0.250 0.897 0.565
0.750 0.455 0.343
0.250 0.045 0.843
0.750 0.955 0.157
0.750 0.780 0.793
0.750 0.603 0.065
0.750 0.280 0.707
0.250 0.545 0.657
0.750 0.186 0.999
0.250 0.314 0.499
0.750 0.686 0.501
0.250 0.814 0.001
0.250 0.247 0.795
0.250 0.747 0.705
0.750 0.753 0.205
0.750 0.253 0.295
```

=====

# 3
The following is a DFT calculation (PBE) of a relaxed structure of BaTbO3.

## Properties
Uncorrected energy, eV for the cell shown: -69.8
Calculated density, kg/m3: 6820

Geometry as POSCAR:
```
BaTbO3
1.0
-3.074 4.364 3.124
3.074 -4.364 3.124
3.074 4.364 -3.124
O Tb Ba
6 2 2
direct
0.797 0.000 0.297
0.667 0.417 0.250
0.203 0.500 0.203
0.203 0.000 0.703
0.333 0.583 0.750
0.797 0.500 0.797
0.500 0.500 0.000
0.000 0.500 0.500
0.241 0.991 0.250
0.759 0.009 0.750
```

=====

# 4
The following is a DFT calculation (PBE) of a relaxed structure of PrSi2.

## Properties
Uncorrected energy, eV for the cell shown: -14.7
Calculated density, kg/m3: 4100

Geometry as POSCAR:
```
PrSi2
1.0
-1.133 -2.029 4.238
-3.733 1.685 2.565
-4.030 -2.634 0.417
Si Pr
2 1
direct
0.250 0.250 0.250
0.750 0.750 0.750
0.000 0.000 0.000
```

=====

# 5
The following is a DFT calculation (PBE) of a relaxed structure of Nd7Pt3.

## Properties
Uncorrected energy, eV for the cell shown: -117.9
Calculated formation energy, eV per atom: -0.745
Calculated density, kg/m3: 9186

Geometry as POSCAR:
```
Nd7Pt3
1.0
10.179 0.000 0.000
-5.089 8.815 0.000
0.000 0.000 6.426
Nd Pt
14 6
direct
0.333 0.667 0.953
0.874 0.747 0.244
0.667 0.333 0.453
0.747 0.874 0.744
0.874 0.126 0.244
0.253 0.126 0.244
0.126 0.253 0.744
0.537 0.463 0.945
0.537 0.075 0.945
0.925 0.463 0.945
0.075 0.537 0.445
0.463 0.925 0.445
0.463 0.537 0.445
0.126 0.874 0.744
0.189 0.811 0.191
0.379 0.189 0.691
0.621 0.811 0.191
0.811 0.189 0.691
0.189 0.379 0.191
0.811 0.621 0.691
```

=====

# 6
The following is a DFT calculation (PBE) of a relaxed structure of Ta2Bi2O5.

## Properties
Uncorrected energy, eV for the cell shown: -60.8
Offset from the most stable computed form, meV/atom: 1070
Calculated density, kg/m3: 12309

Geometry as POSCAR:
```
Ta2Bi2O5
1.0
9.232 0.000 0.000
0.000 3.545 0.000
0.000 0.000 3.545
O Bi Ta
5 2 2
direct
0.651 0.500 0.000
0.500 0.500 0.500
0.349 0.500 0.000
0.349 0.000 0.500
0.651 0.000 0.500
0.805 0.500 0.500
0.195 0.500 0.500
0.500 0.000 0.000
0.000 0.000 0.000
```